Entry 1:
Density functional theory data (PBE) for an optimized crystal structure of RbCuSO.

Lattice parameters (Å, degrees): 4.0899 6.7505 6.7548 76.65 82.68 80.27
With the nearest neighbours (Å) after each atom.
Space group P1 (No. 1)
Symmetry-distinct sites (fractional):
Rb 0.0000 0.0000 0.0000  3 O 2.87-3.04
Rb 0.1355 0.6479 0.5920  3 O 2.78-2.83
Cu 0.1232 0.4174 0.1930  3 S 2.29-2.35, 1 Cu 2.56
Cu 0.4808 0.1472 0.4384  2 S 2.11
S 0.5936 0.5691 0.0891  2 O 1.56-1.57
S 0.9557 0.1942 0.4914  3 Cu 2.11-2.32
O 0.5435 0.7328 0.2265  1 S 1.57
O 0.5738 0.6953 0.8651  1 S 1.56

## Properties
- uncorrected formation energy (eV/atom) = -0.876
- total magnetization (μB per atom) = 0.0000
- volume (Å³ per cell) = 178
- E above lowest polymorph (kcal/mol of atoms) = 0.00

=====

Entry 2:
Density functional theory data (PBE) for an optimized crystal structure of RbCuSO.

Lattice parameters (Å, degrees): 4.0080 6.6269 6.9790 102.26 105.59 90.32
With the nearest neighbours (Å) after each atom.
Space group P1 (No. 1)
Symmetry-distinct sites (fractional):
Rb 0.0000 0.0000 0.0000  4 O 2.82-2.97
Rb 0.1530 0.5848 0.3186  4 O 2.96-3.18
Cu 0.2857 0.1324 0.5496  2 S 2.12
Cu 0.8651 0.3626 0.7198  3 S 2.30-2.39
S 0.4399 0.4700 0.8774  2 O 1.56-1.58
S 0.7491 0.0424 0.4732  2 Cu 2.12
O 0.4965 0.7000 0.9968  1 S 1.56
O 0.5209 0.3359 0.0440  1 S 1.58

## Properties
- uncorrected formation energy (eV/atom) = -0.872
- total magnetization (μB per atom) = 0.0000
- volume (Å³ per cell) = 174
- E above lowest polymorph (kcal/mol of atoms) = 0.09

=====

Entry 3:
Density functional theory data (PBE) for an optimized crystal structure of RbCuSO.

Lattice parameters (Å, degrees): 3.8676 3.8676 10.9662 90.00 90.00 90.00
With the nearest neighbours (Å) after each atom.
Space group P4/nmm (No. 129, origin choice 2)
Symmetry-distinct sites (fractional):
Rb 0.2500 0.2500 0.1764  4 O 2.74
Cu 0.2500 0.7500 0.5000  4 S 2.33
S 0.2500 0.2500 0.6181  4 Cu 2.33
O 0.2500 0.7500 0.0000  4 O 2.73, 4 Rb 2.74

## Properties
- uncorrected formation energy (eV/atom) = -0.274
- total magnetization (μB per atom) = 0.3432
- volume (Å³ per cell) = 164
- E above lowest polymorph (kcal/mol of atoms) = 13.88

=====

Entry 4:
Density functional theory data (PBE) for an optimized crystal structure of Rb2Cu2SbO6.

Lattice parameters (Å, degrees): 5.8751 5.8751 18.4021 90.00 90.00 120.00
With the nearest neighbours (Å) after each atom.
Space group R-3m (No. 166, hexagonal axes)
Symmetry-distinct sites (fractional):
Rb 0.0000 0.0000 0.2098  9 O 3.03-3.11, 1 Cu 3.38
Cu 0.0000 0.0000 0.3936  3 O 1.83
Sb 0.0000 0.0000 0.0000  6 O 2.02
O 0.0242 0.5121 0.7356  1 Cu 1.83, 1 Sb 2.02

## Properties
- uncorrected formation energy (eV/atom) = -1.069
- total magnetization (μB per atom) = 0.2400
- volume (Å³ per cell) = 550

=====

Entry 5:
Density functional theory data (PBE) for an optimized crystal structure of Rb2CuSbO4.

Lattice parameters (Å, degrees): 6.2450 6.2450 7.7070 90.00 90.00 90.00
With the nearest neighbours (Å) after each atom.
Space group I-4 (No. 82)
Symmetry-distinct sites (fractional):
Rb 0.0000 0.0000 0.0000  8 O 3.09-3.21
Rb 0.0000 0.5000 0.2500  4 O 2.87
Cu 0.0000 0.5000 0.7500  4 O 2.06
Sb 0.0000 0.0000 0.5000  4 O 1.95
O 0.1254 0.2276 0.6402  1 Sb 1.95, 1 Cu 2.06

## Properties
- uncorrected formation energy (eV/atom) = -1.237
- total magnetization (μB per atom) = 0.0081
- volume (Å³ per cell) = 301

=====

Entry 6:
Density functional theory data (PBE) for an optimized crystal structure of RbCu4Sb3O12.

Lattice parameters (Å, degrees): 11.2314 11.2314 7.7001 90.00 90.00 120.00
With the nearest neighbours (Å) after each atom.
Space group R32 (No. 155, hexagonal axes)
Symmetry-distinct sites (fractional):
Rb 0.0000 0.0000 0.0000  6 O 2.77
Cu 0.0000 0.0000 0.5000  3 O 1.91
Cu 0.0000 0.4295 0.5000  3 O 1.85-1.93
Sb 0.0000 0.5641 0.0000  6 O 1.96-2.09
O 0.0000 0.6013 0.5000  1 Cu 1.93, 2 Sb 2.09
O 0.0000 0.8301 0.5000  1 Cu 1.91, 2 Sb 2.06
O 0.0669 0.2353 0.1876  1 Cu 1.85, 1 Sb 1.96

## Properties
- uncorrected formation energy (eV/atom) = -0.975
- total magnetization (μB per atom) = 0.2023
- volume (Å³ per cell) = 841

=====

Entry 7:
Density functional theory data (PBE) for an optimized crystal structure of Rb2CuSe2O6.

Lattice parameters (Å, degrees): 5.8920 5.8920 21.8426 90.00 90.00 120.00
With the nearest neighbours (Å) after each atom.
Space group R-3m (No. 166, hexagonal axes)
Symmetry-distinct sites (fractional):
Rb 0.0000 0.0000 0.2363  9 O 2.96-3.23
Cu 0.0000 0.0000 0.5000  6 O 2.20
Se 0.0000 0.0000 0.0794  3 O 1.73
O 0.0177 0.5089 0.7748  1 Se 1.73

## Properties
- uncorrected formation energy (eV/atom) = -0.982
- total magnetization (μB per atom) = 0.0000
- volume (Å³ per cell) = 657

=====

Entry 8:
Density functional theory data (PBE) for an optimized crystal structure of RbCuSe2O8.

Lattice parameters (Å, degrees): 4.9949 4.9949 26.5910 90.00 90.00 120.00
With the nearest neighbours (Å) after each atom.
Space group R-3 (No. 148, hexagonal axes)
Symmetry-distinct sites (fractional):
Rb 0.0000 0.0000 0.0000  6 O 3.07
Cu 0.0000 0.0000 0.5000  6 O 2.01
Se 0.0000 0.0000 0.2313  4 O 1.66-1.69
O 0.0000 0.0000 0.2935  1 Se 1.66
O 0.0012 0.6448 0.1211  1 Se 1.69

## Properties
- uncorrected formation energy (eV/atom) = -0.746
- total magnetization (μB per atom) = 0.1585
- volume (Å³ per cell) = 575

=====

Entry 9:
Density functional theory data (PBE) for an optimized crystal structure of RbCu2Se2O10.

Lattice parameters (Å, degrees): 9.7564 6.2158 9.2133 90.00 118.29 90.00
With the nearest neighbours (Å) after each atom.
Space group C2/m (No. 12)
Symmetry-distinct sites (fractional):
Rb 0.0000 0.0000 0.0000  8 O 3.04-3.32
Cu 0.2500 0.2500 0.5000  4 O 1.80-1.90
Se 0.0544 0.5000 0.7513  4 O 1.64-1.73
O 0.0614 0.2730 0.2992  1 Se 1.73, 1 Cu 1.90
O 0.1576 0.5000 0.9529  1 Se 1.64
O 0.1621 0.5000 0.6563  1 Se 1.66
O 0.1808 0.0000 0.5400  2 Cu 1.80

## Properties
- uncorrected formation energy (eV/atom) = -0.622
- total magnetization (μB per atom) = 0.0665
- volume (Å³ per cell) = 492

=====

Entry 10:
Density functional theory data (PBE) for an optimized crystal structure of RbCu3Se4O12.

Lattice parameters (Å, degrees): 11.2222 11.2222 7.9489 90.00 90.00 120.00
With the nearest neighbours (Å) after each atom.
Space group R32 (No. 155, hexagonal axes)
Symmetry-distinct sites (fractional):
Rb 0.0000 0.0000 0.0000  6 O 2.90
Cu 0.0000 0.5698 0.0000  6 O 2.04-2.14
Se 0.0000 0.0000 0.5000  3 O 1.80
Se 0.0000 0.4377 0.5000  3 O 1.75-1.88
O 0.0000 0.6048 0.5000  1 Se 1.88, 2 Cu 2.04
O 0.0000 0.8396 0.5000  1 Se 1.80
O 0.0580 0.2448 0.1875  1 Se 1.75

## Properties
- uncorrected formation energy (eV/atom) = -0.451
- total magnetization (μB per atom) = 0.0000
- volume (Å³ per cell) = 867

=====

Entry 11:
Density functional theory data (PBE) for an optimized crystal structure of RbCu4Se3O12.

Lattice parameters (Å, degrees): 7.6576 7.6576 7.6576 90.00 90.00 90.00
With the nearest neighbours (Å) after each atom.
Space group Im-3 (No. 204)
Symmetry-distinct sites (fractional):
Rb 0.0000 0.0000 0.0000  12 O 2.84
Cu 0.2500 0.2500 0.2500  6 O 2.10
Se 0.0000 0.0000 0.5000  4 O 1.84
O 0.0000 0.3303 0.1700  1 Se 1.84

## Properties
- uncorrected formation energy (eV/atom) = -0.409
- total magnetization (μB per atom) = 0.0000
- volume (Å³ per cell) = 449

=====

Entry 12:
Density functional theory data (PBE) for an optimized crystal structure of RbCu2Se2O6.

Lattice parameters (Å, degrees): 5.6439 6.8604 7.2700 65.90 85.95 66.03
With the nearest neighbours (Å) after each atom.
Space group P-1 (No. 2)
Symmetry-distinct sites (fractional):
Rb 0.0000 0.0000 0.0000  4 O 2.89-3.06
Cu 0.2464 0.4973 0.5064  4 O 1.88-1.89
Se 0.2440 0.0248 0.4585  1 O 1.67
O 0.1021 0.2768 0.5737  2 Cu 1.88-1.89, 1 Se 2.07
O 0.1767 0.2021 0.2118  1 Se 1.67
O 0.3983 0.7152 0.4261  2 Cu 1.89, 1 Se 2.05

## Properties
- uncorrected formation energy (eV/atom) = -0.717
- total magnetization (μB per atom) = 0.0000
- volume (Å³ per cell) = 233

=====

Entry 13:
Density functional theory data (PBE) for an optimized crystal structure of Rb2Cu2Si8O19.

Lattice parameters (Å, degrees): 9.9797 8.5330 11.6563 90.00 95.13 90.00
With the nearest neighbours (Å) after each atom.
Space group P2_1/m (No. 11)
Symmetry-distinct sites (fractional):
Rb 0.0310 0.2500 0.0598  8 O 3.04-3.22
Rb 0.3968 0.2500 0.5257  10 O 3.07-3.40
Cu 0.3504 0.0073 0.0179  4 O 1.93-1.99
Si 0.0646 0.0650 0.3873  4 O 1.61-1.63
Si 0.1607 0.0686 0.7850  4 O 1.60-1.66
Si 0.3066 0.5626 0.2736  4 O 1.60-1.68
Si 0.4267 0.5665 0.7598  4 O 1.62-1.65
O 0.0000 0.0000 0.5000  2 Si 1.61
O 0.0393 0.5451 0.7267  2 Si 1.62-1.65
O 0.1022 0.2500 0.4063  2 Si 1.63
O 0.1117 0.2500 0.7582  2 Si 1.64
O 0.1858 0.0253 0.9188  1 Si 1.60
O 0.2066 0.5248 0.3755  2 Si 1.63-1.65
O 0.2487 0.0033 0.1507  1 Si 1.60
O 0.2952 0.0396 0.7129  2 Si 1.65-1.66
O 0.3411 0.7500 0.2815  2 Si 1.64
O 0.3873 0.7500 0.7359  2 Si 1.63
O 0.4525 0.0216 0.3226  2 Si 1.65-1.68
O 0.4713 0.5267 0.8940  1 Si 1.62

## Properties
- uncorrected formation energy (eV/atom) = -2.435
- total magnetization (μB per atom) = 0.0646
- volume (Å³ per cell) = 989

=====

Entry 14:
Density functional theory data (PBE) for an optimized crystal structure of Rb2CuSiO4.

Lattice parameters (Å, degrees): 5.0784 11.8887 20.2777 90.00 90.00 90.00
With the nearest neighbours (Å) after each atom.
Space group Fddd (No. 70, origin choice 2)
Symmetry-distinct sites (fractional):
Rb 0.1250 0.1250 0.2990  8 O 3.13-3.49
Cu 0.1250 0.1250 0.1250  4 O 1.98
Si 0.1250 0.1250 0.6250  4 O 1.66
O 0.0796 0.2935 0.8326  1 Si 1.66

## Properties
- uncorrected formation energy (eV/atom) = -1.740
- total magnetization (μB per atom) = 0.1268
- volume (Å³ per cell) = 1224

=====

Entry 15:
Density functional theory data (PBE) for an optimized crystal structure of Rb4CuSi2O7.

Lattice parameters (Å, degrees): 6.3706 7.2191 7.2938 114.56 100.21 108.11
With the nearest neighbours (Å) after each atom.
Space group P-1 (No. 2)
Symmetry-distinct sites (fractional):
Rb 0.0685 0.0435 0.2781  5 O 2.83-2.99
Rb 0.3224 0.5775 0.2151  5 O 2.85-3.09
Cu 0.5000 0.0000 0.0000  4 O 1.99-2.00
Si 0.2154 0.5801 0.7232  4 O 1.61-1.67
O 0.0000 0.5000 0.5000  2 Si 1.67
O 0.1830 0.7689 0.9325  1 Si 1.67
O 0.2025 0.3584 0.7344  1 Si 1.61
O 0.4735 0.7408 0.7322  1 Si 1.66

## Properties
- uncorrected formation energy (eV/atom) = -2.049
- total magnetization (μB per atom) = 0.0714
- volume (Å³ per cell) = 271
- E above lowest polymorph (kcal/mol of atoms) = 0.00

=====

Entry 16:
Density functional theory data (PBE) for an optimized crystal structure of Rb4CuSi2O7.

Lattice parameters (Å, degrees): 6.2806 8.3629 8.5395 117.14 92.95 108.67
With the nearest neighbours (Å) after each atom.
Space group P-1 (No. 2)
Symmetry-distinct sites (fractional):
Rb 0.0893 0.4035 0.1827  5 O 2.82-3.16
Rb 0.3429 0.9899 0.2640  4 O 2.82-3.09
Cu 0.5000 0.5000 0.5000  2 O 1.83
Si 0.2780 0.3403 0.7142  3 O 1.57-1.63
O 0.0000 0.0000 0.0000  4 Rb 2.83-3.09
O 0.0849 0.3164 0.8214  1 Si 1.57
O 0.3070 0.5039 0.6543  1 Si 1.63
O 0.4434 0.2261 0.6615  1 Si 1.58

## Properties
- uncorrected formation energy (eV/atom) = -1.652
- total magnetization (μB per atom) = 0.0714
- volume (Å³ per cell) = 368
- E above lowest polymorph (kcal/mol of atoms) = 9.14

=====

Entry 17:
Density functional theory data (PBE) for an optimized crystal structure of RbSm2CuO5.

Lattice parameters (Å, degrees): 6.7362 6.7362 11.6098 90.00 90.00 90.00
With the nearest neighbours (Å) after each atom.
Space group I4/mcm (No. 140)
Symmetry-distinct sites (fractional):
Rb 0.0000 0.0000 0.2500  10 O 2.90-3.01
Sm 0.1754 0.3246 0.0000  8 O 2.34-2.54
Cu 0.0000 0.5000 0.2500  4 O 1.92
O 0.0000 0.0000 0.0000  4 Sm 2.49
O 0.1309 0.3691 0.3754  1 Cu 1.92

## Properties
- uncorrected formation energy (eV/atom) = -2.186
- total magnetization (μB per atom) = 0.2262
- volume (Å³ per cell) = 527